# 1
{"formula": "KSiIr4", "functional": "GGA-PBE", "state": "relaxed", "lattice": [[0.0000, 3.7539, 3.7539], [3.7539, 0.0000, 3.7539], [3.7539, 3.7539, 0.0000]], "species": ["K", "Si", "Ir", "Ir", "Ir", "Ir"], "frac_coords": [[0.0000, 0.0000, 0.0000], [0.7500, 0.7500, 0.7500], [0.3755, 0.3755, 0.3755], [0.3755, 0.3755, 0.8734], [0.3755, 0.8734, 0.3755], [0.8734, 0.3755, 0.3755]], "crystal_system": "cubic", "dft_energy_ev_per_cell": -38.0, "formation_energy_uncorrected_ev_per_atom": 0.668}

# 2
{"formula": "Mg3OsN4", "functional": "GGA-PBE", "state": "relaxed", "lattice": [[6.7871, 0.0000, 0.0000], [0.0000, 5.8556, 0.0000], [0.0000, 0.0000, 5.3345]], "species": ["Mg", "Mg", "Mg", "Mg", "Mg", "Mg", "Os", "Os", "N", "N", "N", "N", "N", "N", "N", "N"], "frac_coords": [[0.0000, 0.1577, 0.0000], [0.2484, 0.3304, 0.4988], [0.2516, 0.6696, 0.9988], [0.5000, 0.8423, 0.5000], [0.7484, 0.6696, 0.9988], [0.7516, 0.3304, 0.4988], [0.0000, 0.8295, 0.4942], [0.5000, 0.1705, 0.9942], [0.0000, 0.1368, 0.5999], [0.0000, 0.8236, 0.1403], [0.2310, 0.6771, 0.6006], [0.2690, 0.3229, 0.1006], [0.5000, 0.1764, 0.6403], [0.5000, 0.8632, 0.0999], [0.7310, 0.3229, 0.1006], [0.7690, 0.6771, 0.6006]], "crystal_system": "orthorhombic", "dft_energy_ev_per_cell": -104.2, "formation_energy_uncorrected_ev_per_atom": -0.350}

# 3
{"formula": "Er4GaAg2", "functional": "GGA-PBE", "state": "relaxed", "lattice": [[2.5179, 1.4537, 8.1065], [-2.5179, 1.4537, 8.1065], [0.0000, -2.9075, 8.1065]], "species": ["Er", "Er", "Er", "Er", "Ga", "Ag", "Ag"], "frac_coords": [[0.1214, 0.1214, 0.1214], [0.3737, 0.3737, 0.3737], [0.6263, 0.6263, 0.6263], [0.8786, 0.8786, 0.8786], [0.5000, 0.5000, 0.5000], [0.2482, 0.2482, 0.2482], [0.7518, 0.7518, 0.7518]], "formation_enthalpy_0k_ev_per_atom": -0.252, "crystal_system": "trigonal", "dft_energy_ev_per_cell": -28.7}

Volume for every record listed, in sequence, given in Å³ per atom: 17.63; 13.25; 25.43.
Mass density for every record listed, in sequence, given in g/cm3: 13.1; 5.0; 8.9.